#i
Compound: CsNa2H3
Source: Alexandria via LeMat-Bulk
Functional: PBE
Structure: optimized geometry

Symmetry ... Cmcm
M_tot ... 0.00 μB per formula unit
Crystal system ... orthorhombic

Cell: 6.1176 6.5716 6.5716 Å, 79.33 90.00 90.00°
Sites, in units of the cell vectors:
Cs 0.2500 0.3446 0.6554
Cs 0.7500 0.6554 0.3446
Na 0.0000 0.1669 0.1669
Na 0.5000 0.1669 0.1669
Na 0.0000 0.8331 0.8331
Na 0.5000 0.8331 0.8331
H 0.7500 0.0175 0.9825
H 0.7500 0.1694 0.4173
H 0.2500 0.4173 0.1694
H 0.7500 0.5827 0.8306
H 0.2500 0.8306 0.5827
H 0.2500 0.9825 0.0175

=====

#ii
Compound: CsNa2H3
Source: Alexandria via LeMat-Bulk
Functional: PBE
Structure: optimized geometry

Symmetry ... Pmmn
M_tot ... 0.00 μB per formula unit
Crystal system ... orthorhombic

Cell: 4.1692 4.7455 11.8567 Å, 90.00 90.00 90.00°
Sites, in units of the cell vectors:
Cs 0.2500 0.7491 0.2500
Cs 0.7500 0.2509 0.7500
Na 0.2500 0.7503 0.9400
Na 0.7500 0.2497 0.0600
Na 0.7500 0.2496 0.4401
Na 0.2500 0.7504 0.5599
H 0.7500 0.2490 0.2500
H 0.2500 0.7510 0.7500
H 0.7500 0.7498 0.0279
H 0.2500 0.2502 0.9721
H 0.2500 0.2502 0.5280
H 0.7500 0.7498 0.4720

=====

It comes down to #ii, which is 92 meV/atom more stable than the next structure.

=====

#i
Compound: CsNaH3
Source: Alexandria via LeMat-Bulk
Functional: PBE
Structure: optimized geometry

Symmetry ... P2/m
M_tot ... 0.13 μB per formula unit
Crystal system ... monoclinic

Cell: 3.6144 5.5060 10.8204 Å, 120.37 90.00 90.00°
Sites, in units of the cell vectors:
Cs 0.5000 0.8920 0.6418
Cs 0.5000 0.1080 0.3582
Na 0.0000 0.3570 0.1110
Na 0.0000 0.6430 0.8890
H 0.0000 0.8693 0.1156
H 0.0000 0.1307 0.8844
H 0.0000 0.4074 0.6579
H 0.0000 0.5926 0.3421
H 0.5000 0.4426 0.6929
H 0.5000 0.5574 0.3071

=====

#ii
Compound: CsNaH3
Source: Alexandria via LeMat-Bulk
Functional: PBE
Structure: optimized geometry

Symmetry ... Pm-3m
M_tot ... 1.00 μB per formula unit
Crystal system ... cubic

Cell: 4.6067 4.6067 4.6067 Å, 90.00 90.00 90.00°
Sites, in units of the cell vectors:
Cs 0.5000 0.5000 0.5000
Na 0.0000 0.0000 0.0000
H 0.0000 0.5000 0.0000
H 0.0000 0.0000 0.5000
H 0.5000 0.0000 0.0000

=====

It comes down to #i, which is 43 meV/atom more stable than the next structure.

=====

#i
Compound: CsNaH
Source: Alexandria via LeMat-Bulk
Functional: PBE
Structure: optimized geometry

Symmetry ... P4/mmm
M_tot ... 0.00 μB per formula unit
Crystal system ... tetragonal

Cell: 4.8274 4.8274 9.6580 Å, 90.00 90.00 90.00°
Sites, in units of the cell vectors:
Cs 0.5000 0.5000 0.7081
Cs 0.5000 0.5000 0.2919
Na 0.0000 0.0000 0.5000
Na 0.0000 0.0000 0.0000
H 0.0000 0.5000 0.5000
H 0.5000 0.0000 0.5000

=====

#ii
Compound: CsNaH
Source: Alexandria via LeMat-Bulk
Functional: PBE
Structure: optimized geometry

Symmetry ... Imma
M_tot ... 0.00 μB per formula unit
Crystal system ... orthorhombic

Cell: 6.8540 4.6730 13.0014 Å, 90.00 90.00 90.00°
Sites, in units of the cell vectors:
Cs 0.0000 0.2500 0.3466
Cs 0.0000 0.7500 0.6534
Cs 0.5000 0.7500 0.8466
Cs 0.5000 0.2500 0.1534
Na 0.0000 0.2500 0.8852
Na 0.0000 0.7500 0.1148
Na 0.5000 0.7500 0.3852
Na 0.5000 0.2500 0.6148
H 0.2500 0.2500 0.7500
H 0.2500 0.7500 0.2500
H 0.7500 0.7500 0.2500
H 0.7500 0.2500 0.7500

=====

It comes down to #i, which is 12 meV/atom more stable than the next structure.